No. 1
PBE-GGA Pa2VCo12Si3, optimized geometry; Fermi-level density of states = 21.8 states/eV/f.u.; magnetization = 6.25 μB per formula unit; uncorrected formation energy = -0.124 eV per atom
1.0
4.105 2.370 3.986
-4.105 2.370 3.986
0.000 -4.740 3.986
Pa V Co Si
2 1 12 3
direct
0.156 0.156 0.156
0.844 0.844 0.844
0.500 0.500 0.500
0.114 0.114 0.599
0.114 0.599 0.114
0.196 0.692 0.692
0.308 0.308 0.804
0.308 0.804 0.308
0.401 0.886 0.886
0.599 0.114 0.114
0.692 0.196 0.692
0.692 0.692 0.196
0.804 0.308 0.308
0.886 0.401 0.886
0.886 0.886 0.401
0.000 0.500 0.500
0.500 0.000 0.500
0.500 0.500 0.000

=====

No. 2
PBE-GGA PmZn3NiPt, optimized geometry; Fermi-level density of states = 2.8 states/eV/f.u.; magnetization = 0.00 μB per formula unit; ΔH_f (0 K) = -2.190 eV/f.u.
1.0
3.911 -5.410 0.000
3.911 5.410 0.000
0.000 0.000 5.424
Pm Zn Ni Pt
2 6 2 2
direct
0.205 0.795 0.750
0.795 0.205 0.250
0.252 0.252 0.000
0.252 0.252 0.500
0.328 0.672 0.250
0.672 0.328 0.750
0.748 0.748 0.000
0.748 0.748 0.500
0.454 0.546 0.750
0.546 0.454 0.250
0.092 0.908 0.250
0.908 0.092 0.750

=====

> Which of these has the highest Fermi-level density of states?

Pa2VCo12Si3

=====

> Which of these has the lowest magnetization?

PmZn3NiPt

=====

Please write out number 1 again, unchanged.
PBE-GGA Pa2VCo12Si3, optimized geometry; Fermi-level density of states = 21.8 states/eV/f.u.; magnetization = 6.25 μB per formula unit; uncorrected formation energy = -0.124 eV per atom
1.0
4.105 2.370 3.986
-4.105 2.370 3.986
0.000 -4.740 3.986
Pa V Co Si
2 1 12 3
direct
0.156 0.156 0.156
0.844 0.844 0.844
0.500 0.500 0.500
0.114 0.114 0.599
0.114 0.599 0.114
0.196 0.692 0.692
0.308 0.308 0.804
0.308 0.804 0.308
0.401 0.886 0.886
0.599 0.114 0.114
0.692 0.196 0.692
0.692 0.692 0.196
0.804 0.308 0.308
0.886 0.401 0.886
0.886 0.886 0.401
0.000 0.500 0.500
0.500 0.000 0.500
0.500 0.500 0.000